# PBE-GGA LaTe5Pb4, relaxed
# Total moment: 0.0 μB/f.u.
# Fermi-level density of states: 0.4312 states/eV/atom
# E_form (uncorrected): -614 meV per atom
data_LaTe5Pb4
_cell_length_a 14.890
_cell_length_b 4.904
_cell_length_c 11.051
_cell_angle_alpha 90.00
_cell_angle_beta 117.60
_cell_angle_gamma 90.00
_symmetry_space_group_name_H-M 'C 1 2/m 1'
_symmetry_Int_Tables_number 12
loop_
_symmetry_equiv_pos_as_xyz
'x,y,z'
'-x,-y,-z'
'-x,y,-z'
'x,-y,z'
'x+1/2,y+1/2,z'
'-x+1/2,-y+1/2,-z'
'-x+1/2,y+1/2,-z'
'x+1/2,-y+1/2,z'
loop_
_atom_site_label
_atom_site_type_symbol
_atom_site_fract_x
_atom_site_fract_y
_atom_site_fract_z
La1 La 0.000 0.000 0.000
Te1 Te 0.000 0.000 0.500
Te2 Te 0.098 0.500 0.902
Te3 Te 0.198 0.000 0.297
Pb1 Pb 0.095 0.500 0.402
Pb2 Pb 0.205 0.000 0.794